The following is a DFT calculation (PBE+U) of an optimized crystal structure of MnSnClO2.

Energy   -0.218 Ha/atom
Total magnetization   4.0 μB per formula unit

Lattice parameters (Å, degrees): 5.6537 11.6097 5.5575 90.00 90.00 90.00
Space group Cmcm (No. 63)
Inequivalent atoms, fractional coordinates:
Mn 0.0000 0.0084 0.2500 [4 per cell]
Sn 0.0000 0.3817 0.2500 [4 per cell]
Cl 0.0000 0.2327 0.7500 [4 per cell]
O 0.2381 0.0000 0.0000 [8 per cell]